[1]
ReNiAsRu2 | PBE | relaxed

Computed properties:
Raw total energy (eV/atom): -6.825
D(E_F) (states/eV/cell): 6.64
Magnetization (μB/cell): 1.2
Formation enthalpy at 0 K (eV per atom): 1.4614

Cell lengths 4.4551, 4.4551, 4.5430 Å; angles 90.00, 90.00, 90.00 degrees
Space group P4/mmm (No. 123)
One atom of each set of equivalent atoms:
Re 0.0000 0.0000 0.0000
Ni 0.5000 0.5000 0.0000
As 0.0000 0.0000 0.5000
Ru 0.0000 0.5000 0.5000



[2]
Ac12Co5Ni2 | PBE | relaxed

Computed properties:
Raw total energy (eV/atom): -5.077
D(E_F) (states/eV/cell): 32.85
Magnetization (μB/cell): 0.0
Formation enthalpy at 0 K (eV per atom): -0.0035

Cell lengths 15.5202, 7.8608, 10.3740 Å; angles 90.00, 106.89, 90.00 degrees
Space group C2/m (No. 12)
One atom of each set of equivalent atoms:
Ac 0.0345 0.0000 0.3268
Ac 0.0811 0.5000 0.3130
Ac 0.1300 0.2513 0.0042
Ac 0.1866 0.2493 0.6473
Co 0.0000 0.5000 0.0000
Co 0.2062 0.0000 0.8705
Co 0.2222 0.0000 0.4676
Ni 0.0000 0.3109 0.5000



[3]
AcTl2Cd2 | PBE | relaxed

Computed properties:
Energy above the most stable polymorph in this dataset (meV/atom): 45.8
Raw total energy (eV/atom): -2.293
D(E_F) (states/eV/cell): 3.13
Magnetization (μB/cell): 0.0
Formation enthalpy at 0 K (eV per atom): -0.1589

Cell lengths 5.0231, 5.0231, 13.5272 Å; angles 90.00, 90.00, 120.00 degrees
Space group P6_3/mmc (No. 194)
One atom of each set of equivalent atoms:
Ac 0.3333 0.6667 0.2500
Tl 0.0000 0.0000 0.1176
Cd 0.3333 0.6667 0.5599



[4]
AlCrMoRu | PBE | relaxed

Computed properties:
Raw total energy (eV/atom): -8.537
D(E_F) (states/eV/cell): 16.82
Magnetization (μB/cell): 4.1
Formation enthalpy at 0 K (eV per atom): -0.1684

Cell lengths 6.0755, 6.0755, 6.0755 Å; angles 90.00, 90.00, 90.00 degrees
Space group F-43m (No. 216)
One atom of each set of equivalent atoms:
Al 0.0000 0.0000 0.0000
Cr 0.2500 0.2500 0.7500
Mo 0.0000 0.0000 0.5000
Ru 0.2500 0.2500 0.2500



[5]
AcBN | PBE | relaxed

Computed properties:
Energy above the most stable polymorph in this dataset (meV/atom): 270.8
Raw total energy (eV/atom): -7.024
D(E_F) (states/eV/cell): 2.51
Magnetization (μB/cell): 0.0
E_form (uncorrected) (meV/atom): -654

Cell lengths 4.1214, 4.1214, 6.8591 Å; angles 90.00, 90.00, 90.00 degrees
Space group I4mm (No. 107)
One atom of each set of equivalent atoms:
Ac 0.0000 0.0000 0.0000
B 0.0000 0.0000 0.5875
N 0.0000 0.0000 0.3943



[6]
Li6ZnSn | PBE | relaxed

Computed properties:
Energy above the most stable polymorph in this dataset (meV/atom): 0.0
Raw total energy (eV/atom): -2.337
D(E_F) (states/eV/cell): 3.08
Magnetization (μB/cell): 0.0
Formation enthalpy at 0 K (eV per atom): -0.2421

Cell lengths 4.5504, 4.5504, 6.6115 Å; angles 90.00, 90.00, 90.00 degrees
Space group P4/mmm (No. 123)
One atom of each set of equivalent atoms:
Li 0.0000 0.0000 0.0000
Li 0.0000 0.5000 0.2478
Li 0.5000 0.5000 0.5000
Zn 0.5000 0.5000 0.0000
Sn 0.0000 0.0000 0.5000